PBE CaAc2Rh, optimized geometry; calculated formation energy = -0.39 eV/atom; relative energy among the computed polymorphs = 0.005 eV/atom; SG = R-3m, No. 166
1.0
2.1288 1.2291 10.0701
-2.1288 1.2291 10.0701
0.0000 -2.4582 10.0701
Ca Ac Rh
1 2 1
Direct
0.0000 0.0000 0.0000
0.2214 0.2214 0.2214
0.7786 0.7786 0.7786
0.5000 0.5000 0.5000

---

PBE CaAc8Rh5, optimized geometry; calculated formation energy = -0.56 eV/atom; SG = C2/m, No. 12
1.0
11.1800 -2.1733 0.0000
11.1800 2.1733 0.0000
-2.4736 0.0000 10.2726
Ca Ac Rh
1 8 5
Direct
0.0000 0.0000 0.0000
0.0720 0.0720 0.6603
0.2603 0.2603 0.3406
0.3263 0.3263 0.0061
0.4073 0.4073 0.6601
0.5927 0.5927 0.3399
0.6737 0.6737 0.9939
0.7397 0.7397 0.6594
0.9280 0.9280 0.3397
0.1637 0.1637 0.4989
0.2010 0.2010 0.8233
0.5000 0.5000 0.5000
0.7990 0.7990 0.1767
0.8363 0.8363 0.5011

---

PBE CaAc2Rh3, optimized geometry; calculated formation energy = -0.49 eV/atom; SG = P-3m1, No. 164
1.0
5.1266 0.0000 0.0000
-2.5633 4.4397 0.0000
0.0000 0.0000 6.2914
Ca Ac Rh
1 2 3
Direct
0.0000 0.0000 0.0000
0.3333 0.6667 0.6830
0.6667 0.3333 0.3170
0.0000 0.0000 0.5000
0.3333 0.6667 0.1761
0.6667 0.3333 0.8239

---

PBE CaAc2Rh, optimized geometry; calculated formation energy = -0.40 eV/atom; relative energy among the computed polymorphs = 0.000 eV/atom; SG = Pnna, No. 52
1.0
7.2559 0.0000 0.0000
0.0000 6.7825 0.0000
0.0000 0.0000 12.3921
Ca Ac Rh
4 8 4
Direct
0.0853 0.2500 0.2500
0.4147 0.7500 0.2500
0.5853 0.2500 0.7500
0.9147 0.7500 0.7500
0.0822 0.2378 0.5842
0.0822 0.2622 0.9158
0.4178 0.7378 0.9158
0.4178 0.7622 0.5842
0.5822 0.2378 0.4158
0.5822 0.2622 0.0842
0.9178 0.7378 0.0842
0.9178 0.7622 0.4158
0.2500 0.0000 0.4143
0.2500 0.5000 0.0857
0.7500 0.0000 0.5857
0.7500 0.5000 0.9143

---

PBE Ca3AcRh, optimized geometry; calculated formation energy = -0.24 eV/atom; relative energy among the computed polymorphs = 0.000 eV/atom; SG = Pmn2_1, No. 31
1.0
8.0798 0.0000 0.0000
0.0000 6.8464 0.0000
0.0000 0.0000 6.6466
Ca Ac Rh
6 2 2
Direct
0.0000 0.1784 0.0000
0.2491 0.6683 0.0034
0.2509 0.3317 0.5034
0.5000 0.8216 0.5000
0.7491 0.3317 0.5034
0.7509 0.6683 0.0034
0.0000 0.8293 0.4936
0.5000 0.1707 0.9936
0.0000 0.5071 0.2601
0.5000 0.4929 0.7601

---

PBE Ca2AcRh, optimized geometry; calculated formation energy = -0.39 eV/atom; relative energy among the computed polymorphs = 0.000 eV/atom; SG = Cmcm, No. 63
1.0
2.0553 -6.5165 0.0000
2.0553 6.5165 0.0000
0.0000 0.0000 9.7490
Ca Ac Rh
4 2 2
Direct
0.1532 0.8468 0.5705
0.1532 0.8468 0.9295
0.8468 0.1532 0.0705
0.8468 0.1532 0.4295
0.4212 0.5788 0.7500
0.5788 0.4212 0.2500
0.2316 0.7684 0.2500
0.7684 0.2316 0.7500

---

PBE CaAc4Rh3, optimized geometry; calculated formation energy = -0.57 eV/atom; SG = Cc, No. 9
1.0
7.1652 -3.7274 0.0000
7.1652 3.7274 0.0000
-4.2434 0.0000 10.0349
Ca Ac Rh
2 8 6
Direct
0.1709 0.8291 0.5000
0.8291 0.1709 0.0000
0.0242 0.3680 0.4011
0.2226 0.5633 0.8034
0.3680 0.0242 0.9011
0.4353 0.7670 0.1954
0.5633 0.2226 0.3034
0.6271 0.9564 0.6117
0.7670 0.4353 0.6954
0.9564 0.6271 0.1117
0.1982 0.1995 0.6535
0.1995 0.1982 0.1535
0.5885 0.5931 0.9358
0.5931 0.5885 0.4358
0.7954 0.8054 0.3662
0.8054 0.7954 0.8662

---

PBE Ca2AcRh, optimized geometry; calculated formation energy = -0.37 eV/atom; relative energy among the computed polymorphs = 0.016 eV/atom; SG = Pnma, No. 62
1.0
7.6979 0.0000 0.0000
0.0000 10.0119 0.0000
0.0000 0.0000 6.6863
Ca Ac Rh
8 4 4
Direct
0.1705 0.0700 0.1643
0.1705 0.4300 0.1643
0.3295 0.5700 0.6643
0.3295 0.9300 0.6643
0.6705 0.0700 0.3357
0.6705 0.4300 0.3357
0.8295 0.5700 0.8357
0.8295 0.9300 0.8357
0.0466 0.2500 0.6481
0.4534 0.7500 0.1481
0.5466 0.2500 0.8519
0.9534 0.7500 0.3519
0.1252 0.7500 0.9692
0.3748 0.2500 0.4692
0.6252 0.7500 0.5308
0.8748 0.2500 0.0308

---

PBE CaAc8Rh4, optimized geometry; calculated formation energy = -0.51 eV/atom; SG = C2/m, No. 12
1.0
10.5189 -2.1797 0.0000
10.5189 2.1797 0.0000
-9.3913 0.0000 10.7756
Ca Ac Rh
1 8 4
Direct
0.0000 0.0000 0.0000
0.0405 0.0405 0.7386
0.2937 0.2937 0.9296
0.3343 0.3343 0.6603
0.3668 0.3668 0.4088
0.6332 0.6332 0.5912
0.6657 0.6657 0.3397
0.7063 0.7063 0.0704
0.9595 0.9595 0.2614
0.1457 0.1457 0.4620
0.3356 0.3356 0.1742
0.6644 0.6644 0.8258
0.8543 0.8543 0.5380

---

PBE CaAc6Rh3, optimized geometry; calculated formation energy = -0.46 eV/atom; SG = P2_1/m, No. 11
1.0
13.3232 0.0000 0.0000
0.0000 4.2935 0.0000
-2.9395 0.0000 13.0667
Ca Ac Rh
2 12 6
Direct
0.1340 0.2500 0.0279
0.8660 0.7500 0.9721
0.0314 0.7500 0.7674
0.1362 0.2500 0.5222
0.2536 0.7500 0.3215
0.3026 0.2500 0.8024
0.4020 0.7500 0.0649
0.4552 0.7500 0.6127
0.5448 0.2500 0.3873
0.5980 0.2500 0.9351
0.6974 0.7500 0.1976
0.7464 0.2500 0.6785
0.8638 0.7500 0.4778
0.9686 0.2500 0.2326
0.0448 0.7500 0.3720
0.3473 0.2500 0.4690
0.4500 0.7500 0.8514
0.5500 0.2500 0.1486
0.6527 0.7500 0.5310
0.9552 0.2500 0.6280

---

PBE Ca3Ac2Rh2, optimized geometry; calculated formation energy = -0.43 eV/atom; SG = C2/m, No. 12
1.0
6.4961 -2.0754 0.0000
6.4961 2.0754 0.0000
-3.3983 0.0000 8.1569
Ca Ac Rh
3 2 2
Direct
0.0000 0.0000 0.0000
0.1312 0.1312 0.4224
0.8688 0.8688 0.5776
0.3349 0.3349 0.1926
0.6651 0.6651 0.8074
0.3157 0.3157 0.8004
0.6843 0.6843 0.1996

---

PBE CaAc2Rh, optimized geometry; calculated formation energy = -0.27 eV/atom; relative energy among the computed polymorphs = 0.123 eV/atom; SG = P4/mmm, No. 123
1.0
3.7970 0.0000 0.0000
0.0000 3.7970 0.0000
0.0000 0.0000 9.8610
Ca Ac Rh
1 2 1
Direct
0.0000 0.0000 0.0000
0.5000 0.5000 0.3234
0.5000 0.5000 0.6766
0.0000 0.0000 0.5000

---

PBE Ca2Ac2Rh3, optimized geometry; calculated formation energy = -0.47 eV/atom; SG = P-1, No. 2
1.0
4.3065 0.0000 0.0000
0.0012 6.0629 0.0000
2.1466 0.6435 7.3068
Ca Ac Rh
2 2 3
Direct
0.1088 0.1170 0.2837
0.8912 0.8830 0.7163
0.3563 0.3854 0.7871
0.6437 0.6146 0.2129
0.0000 0.5000 0.5000
0.2617 0.8423 0.9763
0.7383 0.1577 0.0237

---

PBE Ca2AcRh, optimized geometry; calculated formation energy = 0.02 eV/atom; relative energy among the computed polymorphs = 0.411 eV/atom; SG = R-3m, No. 166
1.0
1.8523 1.0694 11.2170
-1.8523 1.0694 11.2170
0.0000 -2.1388 11.2170
Ca Ac Rh
2 1 1
Direct
0.1115 0.1115 0.1115
0.8885 0.8885 0.8885
0.0000 0.0000 0.0000
0.5000 0.5000 0.5000

---

PBE Ca2Ac3Rh2, optimized geometry; calculated formation energy = -0.43 eV/atom; SG = C2/m, No. 12
1.0
6.6597 -2.0194 0.0000
6.6597 2.0194 0.0000
-4.4699 0.0000 8.6161
Ca Ac Rh
2 3 2
Direct
0.1817 0.1817 0.3101
0.8183 0.8183 0.6899
0.3849 0.3849 0.0699
0.5000 0.5000 0.5000
0.6151 0.6151 0.9301
0.1738 0.1738 0.7521
0.8262 0.8262 0.2479

---

PBE Ca2Ac6RuRh, optimized geometry; calculated formation energy = -0.22 eV/atom; SG = Imm2, No. 44
1.0
-4.1648 5.8813 4.1535
4.1648 -5.8813 4.1535
4.1648 5.8813 -4.1535
Ca Ac Ru Rh
2 6 1 1
Direct
0.2500 0.0000 0.2500
0.7500 0.0000 0.7500
0.2518 0.0041 0.7522
0.2518 0.4996 0.2478
0.2518 0.4999 0.7519
0.7480 0.4999 0.2481
0.7481 0.5006 0.7525
0.7481 0.9956 0.2475
0.4993 0.4993 0.0000
0.9999 0.4999 0.5000

---

PBE CaAc6RuRh, optimized geometry; calculated formation energy = -0.09 eV/atom; SG = P312, No. 149
1.0
7.5722 0.0000 0.0000
-3.7861 6.5577 0.0000
0.0000 0.0000 7.8674
Ca Ac Ru Rh
1 6 1 1
Direct
0.0000 0.0000 0.0000
0.3688 0.0034 0.7136
0.3688 0.3655 0.2864
0.6345 0.0034 0.2864
0.6345 0.6312 0.7136
0.9966 0.3655 0.7136
0.9966 0.6312 0.2864
0.6667 0.3333 0.5000
0.3333 0.6667 0.5000

---

PBE CaAc2Sb3Rh4, optimized geometry; raw formation energy = -790 kJ/mol of formula units; SG = P-4m2, No. 115
1.0
4.5513 0.0000 0.0000
0.0000 4.5513 0.0000
0.0000 0.0000 11.2378
Ca Ac Sb Rh
1 2 3 4
Direct
0.0000 0.0000 0.0000
0.0000 0.5000 0.7382
0.5000 0.0000 0.2618
0.0000 0.5000 0.3766
0.5000 0.0000 0.6234
0.5000 0.5000 0.0000
0.0000 0.0000 0.5000
0.0000 0.5000 0.1457
0.5000 0.0000 0.8543
0.5000 0.5000 0.5000

---

PBE CaAcSb2Rh2, optimized geometry; raw formation energy = -471 kJ/mol of formula units; SG = P-3m1, No. 164
1.0
4.5174 0.0000 0.0000
-2.2587 3.9121 0.0000
0.0000 0.0000 8.6654
Ca Ac Sb Rh
1 1 2 2
Direct
0.0000 0.0000 0.0000
0.0000 0.0000 0.5000
0.3333 0.6667 0.7693
0.6667 0.3333 0.2307
0.3333 0.6667 0.2458
0.6667 0.3333 0.7542

---

PBE CaAcRhSe, optimized geometry; raw formation energy = -352 kJ/mol of formula units; SG = F-43m, No. 216
1.0
0.0000 3.6884 3.6884
3.6884 0.0000 3.6884
3.6884 3.6884 0.0000
Ca Ac Rh Se
1 1 1 1
Direct
0.0000 0.0000 0.0000
0.5000 0.5000 0.5000
0.2500 0.2500 0.2500
0.7500 0.7500 0.7500

---

PBE CaAcSiRh, optimized geometry; relative energy among the computed polymorphs = 0.291 eV/atom; raw formation energy = -129 kJ/mol of formula units; SG = F-43m, No. 216
1.0
0.0000 3.6676 3.6676
3.6676 0.0000 3.6676
3.6676 3.6676 0.0000
Ca Ac Si Rh
1 1 1 1
Direct
0.0000 0.0000 0.0000
0.5000 0.5000 0.5000
0.2500 0.2500 0.2500
0.7500 0.7500 0.7500

---

PBE CaAcSiRh, optimized geometry; relative energy among the computed polymorphs = 0.000 eV/atom; raw formation energy = -241 kJ/mol of formula units; SG = R3m, No. 160
1.0
2.1176 1.2226 7.7610
-2.1176 1.2226 7.7610
0.0000 -2.4452 7.7610
Ca Ac Si Rh
1 1 1 1
Direct
0.0000 0.0000 0.0000
0.8315 0.8315 0.8315
0.5879 0.5879 0.5879
0.2475 0.2475 0.2475

---

PBE SrCaAc2Rh, optimized geometry; calculated formation energy = -0.30 eV/atom; SG = P4/mmm, No. 123
1.0
5.8570 0.0000 0.0000
0.0000 5.8570 0.0000
0.0000 0.0000 5.9287
Sr Ca Ac Rh
1 1 2 1
Direct
0.0000 0.0000 0.0000
0.5000 0.5000 0.0000
0.0000 0.5000 0.5000
0.5000 0.0000 0.5000
0.5000 0.5000 0.5000

---

PBE Ca2AcTlRh, optimized geometry; calculated formation energy = -0.33 eV/atom; SG = P4mm, No. 99
1.0
5.5040 0.0000 0.0000
0.0000 5.5040 0.0000
0.0000 0.0000 5.6901
Ca Ac Tl Rh
2 1 1 1
Direct
0.0000 0.5000 0.0000
0.5000 0.0000 0.0000
0.0000 0.0000 0.5005
0.5000 0.5000 0.5017
0.0000 0.0000 0.0008

---

| no. | total magnetic moment (μB/f.u.) |
| --- | --- |
| 1 | 0.000 |
| 2 | 0.000 |
| 3 | 0.000 |
| 4 | 0.000 |
| 5 | 0.000 |
| 6 | 0.000 |
| 7 | 0.000 |
| 8 | 0.000 |
| 9 | 0.000 |
| 10 | 0.000 |
| 11 | 0.000 |
| 12 | 0.000 |
| 13 | 0.000 |
| 14 | 0.000 |
| 15 | 0.000 |
| 16 | 0.000 |
| 17 | 0.000 |
| 18 | 0.000 |
| 19 | 0.000 |
| 20 | 0.000 |
| 21 | 0.000 |
| 22 | 0.000 |
| 23 | 0.000 |
| 24 | 0.000 |